DFT (GGA-PBE) results for an optimized crystal structure of Ru3SeCl.

POSCAR file:
```
Ru3SeCl
1.0
4.656 0.000 0.000
0.000 4.656 0.000
0.000 0.000 4.656
Ru Se Cl
3 1 1
Direct
0.000 0.500 0.000 Ru
0.000 0.000 0.500 Ru
0.500 0.000 0.000 Ru
0.000 0.000 0.000 Se
0.500 0.500 0.500 Cl
```

For the total magnetization, the calculation gives 4.162 μB/cell. The value obtained for the total energy is -5.385 eV/atom.